Compound: LiFe2Si
Source: Alexandria
Functional: PBE
Structure: relaxed

Lattice parameters (Å, degrees): 2.578 2.578 7.364 90.00 90.00 90.00
Atoms (fractional coordinates):
1 Li 0.000 0.000 0.000
2 Fe 0.000 0.000 0.484
3 Fe 0.500 0.500 0.705
4 Si 0.500 0.500 0.274

Computed properties:
- Energy relative to the elements, uncorrected: -0.009 kcal/mol of atoms


Compound: KSrSi
Source: Alexandria
Functional: PBE
Structure: relaxed

Lattice parameters (Å, degrees): 5.001 5.001 6.354 90.00 90.00 120.00
Atoms (fractional coordinates):
1 K 0.000 0.000 0.000
2 Sr 0.333 0.667 0.471
3 Si 0.667 0.333 0.298

Computed properties:
- Energy relative to the elements, uncorrected: 5.072 kcal/mol of atoms


Compound: AcSiF
Source: Alexandria
Functional: PBE
Structure: relaxed

Lattice parameters (Å, degrees): 8.630 8.630 8.630 28.30 28.30 28.30
Atoms (fractional coordinates):
1 Ac 0.088 0.088 0.088
2 Ac 0.912 0.912 0.912
3 Si 0.337 0.337 0.337
4 Si 0.663 0.663 0.663
5 F 0.195 0.195 0.195
6 F 0.805 0.805 0.805

Computed properties:
- Energy relative to the elements, uncorrected: -48.334 kcal/mol of atoms


Compound: Ac2Nd3Ho3
Source: Alexandria
Functional: PBE
Structure: relaxed

Lattice parameters (Å, degrees): 9.027 9.027 17.587 90.00 90.00 155.56
Atoms (fractional coordinates):
1 Ac 0.248 0.752 0.607
2 Ac 0.248 0.752 0.893
3 Ac 0.752 0.248 0.107
4 Ac 0.752 0.248 0.393
5 Nd 0.093 0.907 0.041
6 Nd 0.093 0.907 0.459
7 Nd 0.114 0.886 0.750
8 Nd 0.886 0.114 0.250
9 Nd 0.907 0.093 0.541
10 Nd 0.907 0.093 0.959
11 Ho 0.089 0.911 0.250
12 Ho 0.457 0.543 0.118
13 Ho 0.457 0.543 0.382
14 Ho 0.543 0.457 0.618
15 Ho 0.543 0.457 0.882
16 Ho 0.911 0.089 0.750

Computed properties:
- Energy of formation from the pure elements: 0.15 eV per atom


Compound: ZrGa6Cu6
Source: Alexandria
Functional: PBE
Structure: relaxed

Lattice parameters (Å, degrees): 6.548 6.548 6.548 133.35 100.23 97.81
Atoms (fractional coordinates):
1 Zr 0.000 0.000 0.000
2 Ga 0.171 0.671 0.500
3 Ga 0.341 0.341 0.000
4 Ga 0.346 0.000 0.346
5 Ga 0.654 0.000 0.654
6 Ga 0.659 0.659 0.000
7 Ga 0.829 0.329 0.500
8 Cu 0.000 0.000 0.500
9 Cu 0.000 0.500 0.000
10 Cu 0.243 0.500 0.743
11 Cu 0.500 0.000 0.000
12 Cu 0.500 0.500 0.500
13 Cu 0.757 0.500 0.257

Computed properties:
- Energy of formation from the pure elements: -0.26 eV per atom


Compound: Nd2Dy3Tm8
Source: Alexandria
Functional: PBE
Structure: relaxed

Lattice parameters (Å, degrees): 11.001 11.001 5.480 90.00 90.00 139.82
Atoms (fractional coordinates):
1 Nd 0.240 0.760 0.000
2 Nd 0.760 0.240 0.000
3 Dy 0.000 0.000 0.000
4 Dy 0.287 0.287 0.500
5 Dy 0.713 0.713 0.500
6 Tm 0.128 0.872 0.500
7 Tm 0.179 0.394 0.000
8 Tm 0.339 0.661 0.500
9 Tm 0.394 0.179 0.000
10 Tm 0.606 0.821 0.000
11 Tm 0.661 0.339 0.500
12 Tm 0.821 0.606 0.000
13 Tm 0.872 0.128 0.500

Computed properties:
- Energy of formation from the pure elements: 0.25 eV per atom


Q: Which formula does entry 5 have?
A: ZrGa6Cu6


What did the fifth record say?
Compound: ZrGa6Cu6
Source: Alexandria
Functional: PBE
Structure: relaxed

Lattice parameters (Å, degrees): 6.548 6.548 6.548 133.35 100.23 97.81
Atoms (fractional coordinates):
1 Zr 0.000 0.000 0.000
2 Ga 0.171 0.671 0.500
3 Ga 0.341 0.341 0.000
4 Ga 0.346 0.000 0.346
5 Ga 0.654 0.000 0.654
6 Ga 0.659 0.659 0.000
7 Ga 0.829 0.329 0.500
8 Cu 0.000 0.000 0.500
9 Cu 0.000 0.500 0.000
10 Cu 0.243 0.500 0.743
11 Cu 0.500 0.000 0.000
12 Cu 0.500 0.500 0.500
13 Cu 0.757 0.500 0.257

Computed properties:
- Energy of formation from the pure elements: -0.26 eV per atom